{
  "formula": "ScSiNiPd",
  "functional": "GGA-PBE",
  "state": "optimized geometry",
  "cell": [[0.000, 3.073, 3.073], [3.073, 0.000, 3.073], [3.073, 3.073, 0.000]],
  "species": ["Ni", "Pd", "Sc", "Si"],
  "fractional_positions": [[0.750, 0.750, 0.750], [0.250, 0.250, 0.250], [0.500, 0.500, 0.500], [0.000, 0.000, 0.000]],
  "magnetic_moment_mub_per_fu": 0.00,
  "e_above_lowest_polymorph_mev_per_atom": 0,
  "mass_density_g_cm3": 6.81
}

{
  "formula": "BeCoSiPd",
  "functional": "GGA-PBE",
  "state": "optimized geometry",
  "cell": [[0.000, 2.821, 2.821], [2.821, 0.000, 2.821], [2.821, 2.821, 0.000]],
  "species": ["Be", "Co", "Pd", "Si"],
  "fractional_positions": [[0.500, 0.500, 0.500], [0.750, 0.750, 0.750], [0.250, 0.250, 0.250], [0.000, 0.000, 0.000]],
  "magnetic_moment_mub_per_fu": 0.76,
  "e_above_lowest_polymorph_mev_per_atom": 0,
  "mass_density_g_cm3": 7.49
}

{
  "formula": "Sm2SiW2C2",
  "functional": "GGA-PBE",
  "state": "optimized geometry",
  "cell": [[-1.309, -0.050, 7.126], [-2.576, -2.964, 6.089], [5.418, -1.840, -1.448]],
  "species": ["C", "C", "Si", "Sm", "Sm", "W", "W"],
  "fractional_positions": [[0.749, 0.749, 0.262], [0.251, 0.251, 0.738], [0.000, 0.000, 0.000], [0.371, 0.371, 0.200], [0.629, 0.629, 0.800], [0.174, 0.174, 0.336], [0.826, 0.826, 0.664]],
  "magnetic_moment_mub_per_fu": 0.01,
  "mass_density_g_cm3": 9.46,
  "e_tot_ev_per_atom": -8.654
}

{
  "formula": "PaFeSi",
  "functional": "GGA-PBE",
  "state": "optimized geometry",
  "cell": [[2.624, -0.123, 3.365], [2.982, 3.015, 0.493], [-0.385, 2.894, 3.115]],
  "species": ["Fe", "Pa", "Si"],
  "fractional_positions": [[0.000, 0.000, 0.000], [0.250, 0.250, 0.250], [0.750, 0.750, 0.750]],
  "magnetic_moment_mub_per_fu": 0.64,
  "mass_density_g_cm3": 9.50,
  "e_tot_ev_per_atom": -8.103
}